1.
The following is a DFT calculation (PBEsol) of a geometry-optimized Li2AlFeO4 structure.

Calculated values
Symmetry ... C222_1 (20)
Crystal system ... orthorhombic
Spin magnetization ... 10.00 μB/cell
Total DFT energy (no corrections) ... -109.71 eV for the cell shown
Energy relative to the elements, uncorrected ... -2109 meV per atom

```
Li2AlFeO4
1.0
-5.119 1.117 0.540
0.475 -0.522 5.220
1.392 6.140 0.488
Li Al Fe O
4 2 2 8
direct
0.315 0.315 0.500 Li
0.685 0.685 0.000 Li
0.817 0.183 0.750 Li
0.183 0.817 0.250 Li
0.326 0.326 0.000 Al
0.674 0.674 0.500 Al
0.175 0.825 0.750 Fe
0.825 0.175 0.250 Fe
0.181 0.200 0.230 O
0.200 0.181 0.770 O
0.819 0.800 0.730 O
0.800 0.819 0.270 O
0.662 0.297 0.009 O
0.297 0.662 0.991 O
0.703 0.338 0.491 O
0.338 0.703 0.509 O
```

=====

2.
The following is a DFT calculation (PBEsol) of a geometry-optimized Li2AlFeO4 structure.

Calculated values
Symmetry ... Pca2_1 (29)
Crystal system ... orthorhombic
Spin magnetization ... 40.00 μB/cell
Total DFT energy (no corrections) ... -436.66 eV for the cell shown
Energy relative to the elements, uncorrected ... -2075 meV per atom

```
Li2AlFeO4
1.0
-3.641 3.637 -1.002
-4.651 -2.173 9.012
7.390 9.050 5.996
Li Al Fe O
16 8 8 32
direct
0.054 0.040 0.437 Li
0.554 0.040 0.064 Li
0.116 0.789 0.800 Li
0.617 0.787 0.698 Li
0.116 0.711 0.300 Li
0.617 0.713 0.198 Li
0.554 0.460 0.564 Li
0.054 0.460 0.937 Li
0.446 0.540 0.064 Li
0.946 0.540 0.437 Li
0.383 0.287 0.698 Li
0.884 0.289 0.800 Li
0.383 0.213 0.198 Li
0.884 0.211 0.300 Li
0.946 0.960 0.937 Li
0.446 0.960 0.564 Li
0.047 0.963 0.187 Al
0.456 0.792 0.942 Al
0.456 0.708 0.442 Al
0.047 0.537 0.687 Al
0.953 0.463 0.187 Al
0.544 0.292 0.942 Al
0.544 0.208 0.442 Al
0.953 0.037 0.687 Al
0.549 0.962 0.313 Fe
0.956 0.791 0.557 Fe
0.956 0.709 0.057 Fe
0.549 0.538 0.813 Fe
0.451 0.462 0.313 Fe
0.044 0.291 0.557 Fe
0.044 0.209 0.057 Fe
0.451 0.038 0.813 Fe
0.630 0.986 0.696 O
0.112 0.982 0.798 O
0.568 0.952 0.930 O
0.070 0.961 0.575 O
0.987 0.794 0.183 O
0.490 0.784 0.322 O
0.597 0.789 0.545 O
0.117 0.793 0.952 O
0.597 0.711 0.045 O
0.117 0.707 0.452 O
0.490 0.716 0.822 O
0.987 0.706 0.683 O
0.568 0.548 0.430 O
0.070 0.539 0.075 O
0.630 0.514 0.196 O
0.112 0.518 0.298 O
0.888 0.482 0.798 O
0.370 0.486 0.696 O
0.930 0.461 0.575 O
0.432 0.452 0.930 O
0.510 0.284 0.322 O
0.013 0.294 0.183 O
0.883 0.293 0.952 O
0.403 0.289 0.545 O
0.883 0.207 0.452 O
0.403 0.211 0.045 O
0.510 0.216 0.822 O
0.013 0.206 0.683 O
0.930 0.039 0.075 O
0.432 0.048 0.430 O
0.888 0.018 0.298 O
0.370 0.014 0.196 O
```

=====

3.
The following is a DFT calculation (PBEsol) of a geometry-optimized LuAl8Fe4 structure.

Calculated values
Symmetry ... I4/mmm (139)
Crystal system ... tetragonal
Spin magnetization ... 4.83 μB/cell
ΔE_f ... -41 kJ/mol of atoms
Total DFT energy (no corrections) ... -79.05 eV for the cell shown

```
LuAl8Fe4
1.0
-3.162 0.446 3.792
0.321 -5.081 4.106
2.674 3.088 5.108
Lu Al Fe
1 8 4
direct
0.000 0.000 0.000 Lu
0.000 0.339 0.661 Al
0.719 0.781 0.781 Al
0.500 0.781 0.219 Al
0.500 0.219 0.781 Al
0.281 0.219 0.219 Al
0.000 0.661 0.339 Al
0.661 0.339 0.339 Al
0.339 0.661 0.661 Al
0.000 0.000 0.500 Fe
0.000 0.500 0.000 Fe
0.500 0.500 0.000 Fe
0.500 0.000 0.500 Fe
```

=====

4.
The following is a DFT calculation (PBEsol) of a geometry-optimized Lu2Al3Fe structure.

Calculated values
Symmetry ... R-3m (166)
Crystal system ... trigonal
Spin magnetization ... 1.70 μB/cell
ΔE_f ... -40 kJ/mol of atoms
Total DFT energy (no corrections) ... -33.45 eV for the cell shown

```
Lu2Al3Fe
1.0
5.256 -0.025 -0.017
2.532 4.606 -0.017
2.532 1.490 4.358
Lu Fe Al
2 1 3
direct
0.627 0.627 0.627 Lu
0.373 0.373 0.373 Lu
0.000 0.000 0.000 Fe
0.000 0.500 0.000 Al
0.500 0.000 0.000 Al
0.000 0.000 0.500 Al
```

=====

5.
The following is a DFT calculation (PBEsol) of a geometry-optimized MgAl2Fe structure.

Calculated values
Symmetry ... I-42d (122)
Crystal system ... tetragonal
Spin magnetization ... 4.08 μB/cell
ΔE_f ... 40 kJ/mol of atoms
Total DFT energy (no corrections) ... -34.40 eV for the cell shown

```
MgAl2Fe
1.0
3.898 0.000 0.000
0.000 3.898 0.000
-1.949 -1.949 9.018
Mg Fe Al
2 2 4
direct
0.750 0.250 0.500 Mg
0.500 0.500 0.000 Mg
0.250 0.750 0.500 Fe
0.000 0.000 0.000 Fe
0.343 0.875 0.250 Al
0.907 0.375 0.250 Al
0.125 0.093 0.750 Al
0.625 0.657 0.750 Al
```

=====

6.
The following is a DFT calculation (PBEsol) of a geometry-optimized MgAl2Fe structure.

Calculated values
Symmetry ... R-3m (166)
Crystal system ... trigonal
Spin magnetization ... 1.39 μB/cell
ΔE_f ... 1 kJ/mol of atoms
Total DFT energy (no corrections) ... -18.81 eV for the cell shown

```
MgAl2Fe
1.0
2.874 0.000 0.000
1.437 2.489 0.000
1.437 0.830 8.632
Al Fe Mg
2 1 1
direct
0.237 0.237 0.289 Al
0.763 0.763 0.711 Al
0.500 0.500 0.500 Fe
0.000 0.000 0.000 Mg
```

=====

Q: Among the records above, which one has the highest spin magnetization?
A: number 2

=====

Q: What is the total DFT energy (no corrections) in the sixth record?
A: -18.81 eV for the cell shown

=====

Q: What is the spin magnetization in the third record?
A: 4.83 μB/cell